VASP calculation (GGA-PBE) on a relaxed RbSr2Fe crystal.

abc: 8.340 8.340 11.809
angles: 90.00 90.00 90.00
Space group I-42d (No. 122)
Unique sites:
Rb 0.000 0.000 0.000 [4 per cell]
Sr 0.001 0.250 0.625 [8 per cell]
Fe 0.000 0.000 0.500 [4 per cell]

Computed properties:
The calculation puts the density of states at the Fermi level at 1.383 states/eV per atom. The total moment comes out at 0.00 Bohr magnetons per cell. Its formation energy is 889 meV per atom. Its calculated density is 2.56 g cm⁻³.

---

VASP calculation (GGA-PBE) on a relaxed ScNb2CdBi crystal.

abc: 5.093 5.093 5.493
angles: 90.00 90.00 90.00
Space group P4/mmm (No. 123)
Unique sites:
Sc 0.000 0.000 0.000 [1 per cell]
Nb 0.000 0.500 0.500 [2 per cell]
Cd 0.500 0.500 0.500 [1 per cell]
Bi 0.500 0.500 0.000 [1 per cell]

Computed properties:
The calculation puts the density of states at the Fermi level at 1.378 states/eV per atom. The total moment comes out at 1.67 Bohr magnetons per cell. Its formation energy is 1480 meV per atom. Its calculated density is 6.44 g cm⁻³.

---

VASP calculation (GGA-PBE) on a relaxed La2Dy2Er5 crystal.

abc: 21.694 3.482 8.259
angles: 90.00 100.47 90.00
Space group C2/m (No. 12)
Unique sites:
La 0.180 0.000 0.142 [4 per cell]
Dy 0.046 0.500 0.357 [4 per cell]
Er 0.000 0.000 0.000 [2 per cell]
Er 0.095 0.000 0.730 [4 per cell]
Er 0.191 0.500 0.535 [4 per cell]

Computed properties:
The excess energy over the best structure of this formula in the dataset is 4 meV/atom. The calculation puts the density of states at the Fermi level at 1.500 states/eV per atom. The total moment comes out at 0.00 Bohr magnetons per cell. Its formation energy is 214 meV per atom. Its calculated density is 7.79 g cm⁻³.

---

VASP calculation (GGA-PBE) on a relaxed Cs2PtSe crystal.

abc: 5.101 5.101 22.892
angles: 90.00 90.00 90.00
Space group I-42d (No. 122)
Unique sites:
Cs 0.243 0.250 0.125 [8 per cell]
Pt 0.000 0.000 0.000 [4 per cell]
Se 0.000 0.000 0.500 [4 per cell]

Computed properties:
The calculation puts the density of states at the Fermi level at 0.573 states/eV per atom. The total moment comes out at 0.00 Bohr magnetons per cell. The calculation puts the energy relative to the elements, uncorrected at 0.247 eV/atom. Its calculated density is 6.02 g cm⁻³.